Density functional theory data (PBE-GGA) for crystalline Li12Hg at its relaxed geometry.

```
13
Lattice="-1.965 -6.987 -1.974 5.906 -2.728 3.776 -4.224 -0.563 6.198" Properties=species:S:1:pos:R:3 pbc="T T T"
Li -2.606 -2.040 2.602
Li -3.582 -5.510 1.622
Li 1.890 -1.505 3.448
Li -0.208 -1.785 6.526
Li 0.504 -4.180 -0.036
Li 3.436 -5.535 1.839
Li 2.307 -2.323 5.925
Li -0.625 -0.968 4.050
Li 1.482 -6.592 0.411
Li 2.458 -3.123 1.391
Li -4.143 -3.915 3.652
Li -2.046 -3.635 0.573
Hg -0.142 -5.139 4.001
```

Summary:
Uncorrected energy ... -16.3 eV/f.u.